[1]
Here is a relaxed structure of GeAsPd2 from Alexandria. Energies are from PBE-GGA.

Calculated values
Crystal system = monoclinic
Formation energy = -0.375 eV/atom
Energy above the lowest structure with this stoichiometry = 0.000 eV/atom

The structure in POSCAR format:
```
GeAsPd2
1.0
7.472 0.000 0.000
0.000 6.326 0.000
-0.013 0.000 5.777
Ge As Pd
4 4 8
Direct
0.122 0.083 0.313 Ge
0.122 0.417 0.813 Ge
0.878 0.583 0.187 Ge
0.878 0.917 0.687 Ge
0.371 0.580 0.190 As
0.371 0.920 0.690 As
0.629 0.080 0.310 As
0.629 0.420 0.810 As
0.122 0.690 0.494 Pd
0.122 0.810 0.994 Pd
0.370 0.196 0.011 Pd
0.370 0.304 0.511 Pd
0.630 0.696 0.489 Pd
0.630 0.804 0.989 Pd
0.878 0.190 0.006 Pd
0.878 0.310 0.506 Pd
```

---

[2]
Here is a relaxed structure of Tb2NdTm9 from Alexandria. Energies are from PBE-GGA.

Calculated values
Crystal system = tetragonal
Formation energy = 0.027 eV/atom
Energy above the lowest structure with this stoichiometry = 0.000 eV/atom

The structure in POSCAR format:
```
Tb2NdTm9
1.0
4.973 0.000 0.000
0.000 4.973 0.000
0.000 0.000 14.905
Tb Nd Tm
2 1 9
Direct
0.000 0.000 0.166 Tb
0.000 0.000 0.834 Tb
0.000 0.000 0.500 Nd
0.000 0.500 0.000 Tm
0.000 0.500 0.332 Tm
0.000 0.500 0.668 Tm
0.500 0.000 0.000 Tm
0.500 0.000 0.332 Tm
0.500 0.000 0.668 Tm
0.500 0.500 0.165 Tm
0.500 0.500 0.500 Tm
0.500 0.500 0.835 Tm
```

---

[3]
Here is a relaxed structure of ErFe2SiH from Alexandria. Energies are from PBE-GGA.

Calculated values
Crystal system = orthorhombic
DFT total energy = -0.4809 Ry/atom

The structure in POSCAR format:
```
ErFe2SiH
1.0
1.740 -5.156 0.000
1.740 5.156 0.000
0.000 0.000 7.107
Er Fe Si H
2 4 2 2
Direct
0.045 0.955 0.750 Er
0.955 0.045 0.250 Er
0.334 0.666 0.554 Fe
0.334 0.666 0.946 Fe
0.666 0.334 0.054 Fe
0.666 0.334 0.446 Fe
0.234 0.766 0.250 Si
0.766 0.234 0.750 Si
0.500 0.500 0.000 H
0.500 0.500 0.500 H
```

---

[4]
Here is a relaxed structure of RbMn3Ru from Alexandria. Energies are from PBE-GGA.

Calculated values
Crystal system = cubic
Formation energy = 2.711 eV/atom
Energy above the lowest structure with this stoichiometry = 1.710 eV/atom

The structure in POSCAR format:
```
RbMn3Ru
1.0
4.725 0.000 0.000
0.000 4.725 0.000
0.000 0.000 4.725
Rb Mn Ru
1 3 1
Direct
0.000 0.000 0.000 Rb
0.000 0.000 0.500 Mn
0.000 0.500 0.000 Mn
0.500 0.000 0.000 Mn
0.500 0.500 0.500 Ru
```